Here is a geometry-optimized TaBeCoO2 structure from Alexandria. Energies are from PBE+U.

The calculation puts the total DFT energy (no corrections) at -0.2200 Ha/atom. The space-group type is P4/mmm.

Structure (POSCAR):
```
TaBeCoO2
1.0
3.6399 0.0000 0.0000
0.0000 4.0023 0.0000
0.0000 0.0000 3.6399
Be O Ta Co
1 2 1 1
Cartesian
0.0000 2.0011 0.0000
0.0000 0.0000 1.8199
1.8199 0.0000 0.0000
1.8199 2.0011 1.8199
0.0000 0.0000 0.0000
```